{"formula": "B2AsI", "functional": "GGA-PBEsol", "state": "relaxed", "lattice_angstrom": [[5.6833, 0.0000, 0.0000], [-2.8416, 4.9638, 0.0747], [0.0000, 3.1826, 4.7086]], "species": ["I", "I", "As", "As", "B", "B", "B", "B"], "frac_coords": [[0.7500, 0.5000, 0.7500], [0.0000, 0.0000, 0.0000], [0.2500, 0.5000, 0.2500], [0.5000, 0.0000, 0.5000], [0.5618, 0.7500, 0.3750], [0.1882, 0.7500, 0.8750], [0.8750, 0.2500, 0.5618], [0.3750, 0.2500, 0.1882]], "raw_formation_energy_ev_per_atom": 0.973, "m_tot_mub_per_fu": 0.00, "dft_energy_ev_per_cell": -34.0}


{"formula": "BAs2I", "functional": "GGA-PBEsol", "state": "relaxed", "lattice_angstrom": [[4.7529, 0.0000, 0.0000], [2.3764, 4.1161, 0.0000], [2.3764, 1.3720, 3.8807]], "species": ["I", "As", "As", "B"], "frac_coords": [[0.5000, 0.5000, 0.5000], [0.2500, 0.2500, 0.2500], [0.7500, 0.7500, 0.7500], [0.0000, 0.0000, 0.0000]], "raw_formation_energy_ev_per_atom": 1.420, "m_tot_mub_per_fu": 0.00, "dft_energy_ev_per_cell": -13.3}


{"formula": "BAsIO2", "functional": "GGA-PBEsol", "state": "relaxed", "lattice_angstrom": [[3.7605, 0.0000, 0.0000], [0.0000, 3.7605, 0.0000], [0.0000, 0.0000, 4.5153]], "species": ["I", "As", "B", "O", "O"], "frac_coords": [[0.0000, 0.0000, 0.5000], [0.5000, 0.5000, 0.5000], [0.0000, 0.0000, 0.0000], [0.0000, 0.5000, 0.0000], [0.5000, 0.0000, 0.0000]], "raw_formation_energy_ev_per_atom": 0.555, "relative_energy_mev_per_atom": 109, "m_tot_mub_per_fu": 0.00, "dft_energy_ev_per_cell": -21.6}


{"formula": "BAsIO2", "functional": "GGA-PBEsol", "state": "relaxed", "lattice_angstrom": [[3.7062, 0.0000, 0.0000], [0.0000, 3.7062, 0.0000], [0.0000, 0.0000, 6.2304]], "species": ["I", "As", "B", "O", "O"], "frac_coords": [[0.0000, 0.0000, 0.5000], [0.0000, 0.0000, 0.0000], [0.5000, 0.5000, 0.5000], [0.0000, 0.5000, 0.0000], [0.5000, 0.0000, 0.0000]], "raw_formation_energy_ev_per_atom": 0.447, "relative_energy_mev_per_atom": 0, "m_tot_mub_per_fu": 0.00, "dft_energy_ev_per_cell": -22.2}